This record from Alexandria describes an optimized crystal structure of CoSb2SI. The functional is PBE.

The structure in POSCAR format:
```
CoSb2SI
1.0
5.177 0.000 0.000
0.000 5.177 0.000
0.000 0.000 5.511
Co Sb S I
1 2 1 1
Cartesian
0.000 0.000 0.000
0.000 2.589 2.755
2.589 0.000 2.755
2.589 2.589 2.755
2.589 2.589 0.000
```

Output
As for the space group: P4/mmm, No. 123. The final energy is -3.09 eV per atom. The value obtained for the uncorrected formation energy is 1.115 eV per atom. The energy above the lowest structure with this stoichiometry comes out at 0.605 eV per atom. The density of states at the Fermi level comes out at 7.0 states/eV/cell.

This record from Alexandria describes an optimized crystal structure of Cd2TeRhSe. The functional is PBE.

The structure in POSCAR format:
```
Cd2TeRhSe
1.0
5.471 0.000 0.000
0.000 5.471 0.000
0.000 0.000 5.445
Cd Te Rh Se
2 1 1 1
Cartesian
0.000 2.736 0.000
2.736 0.000 0.000
0.000 0.000 0.000
2.736 2.736 2.723
0.000 0.000 2.723
```

Output
As for the space group: P4/mmm, No. 123. The final energy is -2.10 eV per atom. The value obtained for the uncorrected formation energy is 1.057 eV per atom. The density of states at the Fermi level comes out at 6.6 states/eV/cell.

This record from Alexandria describes an optimized crystal structure of K2RbS8. The functional is PBE.

The structure in POSCAR format:
```
K2RbS8
1.0
6.234 0.000 0.000
-1.571 6.537 0.000
-2.344 -2.474 8.871
K Rb S
2 1 8
Cartesian
0.112 1.959 1.488
2.207 2.104 7.382
-1.172 -1.237 4.435
-0.860 5.187 1.635
0.220 1.945 4.775
-0.861 2.495 8.167
1.126 5.326 1.210
1.193 -1.263 7.661
3.180 1.567 0.704
2.099 2.118 4.095
3.179 -1.125 7.236
```

Output
As for the space group: P-1, No. 2. The final energy is -3.78 eV per atom. The value obtained for the uncorrected formation energy is -0.494 eV per atom. The density of states at the Fermi level comes out at 3.9 states/eV/cell.

> Number 2 is which compound?

Cd2TeRhSe

> Among the records above, which one has the highest final energy?

Cd2TeRhSe

What did the first record say?
This record from Alexandria describes an optimized crystal structure of CoSb2SI. The functional is PBE.

The structure in POSCAR format:
```
CoSb2SI
1.0
5.177 0.000 0.000
0.000 5.177 0.000
0.000 0.000 5.511
Co Sb S I
1 2 1 1
Cartesian
0.000 0.000 0.000
0.000 2.589 2.755
2.589 0.000 2.755
2.589 2.589 2.755
2.589 2.589 0.000
```

Output
As for the space group: P4/mmm, No. 123. The final energy is -3.09 eV per atom. The value obtained for the uncorrected formation energy is 1.115 eV per atom. The energy above the lowest structure with this stoichiometry comes out at 0.605 eV per atom. The density of states at the Fermi level comes out at 7.0 states/eV/cell.

> The lowest final energy belongs to which entry?

K2RbS8